Record 1
NdZn6Cu6: optimized geometry, PBE.

Output
- Total magnetization: 0.000 μB/cell
- Formation energy: -0.166 eV per atom
- Total energy: -3.012 eV/atom

Structure (extended XYZ):
```
13
Lattice="4.942 0.000 0.000 2.471 6.240 -0.032 2.471 0.117 6.239" Properties=species:S:1:pos:R:3 pbc="T T T"
Nd 0.000 0.000 0.000
Zn 4.942 4.117 4.019
Zn 4.942 2.241 2.188
Zn 2.471 2.256 4.049
Zn 2.471 4.102 2.158
Zn 2.471 1.335 1.304
Zn 7.413 5.022 4.903
Cu 1.236 3.120 -0.016
Cu 3.707 3.120 -0.016
Cu 1.236 0.059 3.120
Cu 3.707 0.059 3.120
Cu 4.942 4.843 1.400
Cu 4.942 1.515 4.808
```


Record 2
Nd2Zn5Cu4: optimized geometry, PBE.

Output
- Total magnetization: 0.000 μB/cell
- Formation energy: -0.254 eV per atom
- Total energy: -3.190 eV/atom

Structure (extended XYZ):
```
11
Lattice="5.350 0.000 0.000 2.675 4.482 0.000 2.675 0.000 8.066" Properties=species:S:1:pos:R:3 pbc="T T T"
Nd 5.350 0.000 2.138
Nd 2.675 0.000 5.928
Zn 2.675 0.000 0.000
Zn 1.338 2.241 0.000
Zn 4.013 2.241 0.000
Zn 4.013 2.241 4.033
Zn 6.688 2.241 4.033
Cu 5.350 1.382 5.967
Cu 5.350 3.100 2.099
Cu 2.675 1.382 2.099
Cu 8.025 3.100 5.967
```


Record 3
NdZn4Cu6: optimized geometry, PBE.

Output
- Total magnetization: 0.000 μB/cell
- Formation energy: -0.092 eV per atom
- Total energy: -3.223 eV/atom

Structure (extended XYZ):
```
11
Lattice="-1.350 -1.700 -3.375 6.258 0.840 -2.927 -1.444 -5.831 3.514" Properties=species:S:1:pos:R:3 pbc="T T T"
Nd 0.000 0.000 0.000
Zn 3.461 -3.663 -1.925
Zn 1.554 -1.685 -2.158
Zn 4.033 -1.353 -3.318
Zn 1.124 -3.608 1.367
Cu 3.257 0.011 -1.308
Cu 1.831 -4.976 -0.612
Cu 2.698 -2.243 0.050
Cu 5.118 -1.919 -1.081
Cu -0.513 -5.290 0.484
Cu 0.028 -3.106 -0.832
```


Record 4
NdZn12Cu6: optimized geometry, PBE.

Output
- Total magnetization: 0.000 μB/cell
- Formation energy: -0.073 eV per atom
- Total energy: -2.422 eV/atom

Structure (extended XYZ):
```
19
Lattice="-1.778 -5.433 -3.967 6.958 -0.019 -0.048 -1.697 -1.941 6.463" Properties=species:S:1:pos:R:3 pbc="T T T"
Nd 0.000 0.000 0.000
Zn -1.636 -5.790 -0.291
Zn 1.626 -5.832 0.440
Zn 1.647 -4.929 3.138
Zn -0.402 -2.961 0.994
Zn 1.836 -2.464 -0.689
Zn 1.857 -1.561 2.008
Zn 1.773 -2.346 5.257
Zn 5.088 -2.953 -1.293
Zn 5.119 -1.603 2.740
Zn 1.710 -5.047 -2.809
Zn -1.605 -4.439 3.742
Zn 3.885 -4.432 1.454
Cu 0.215 -4.372 -1.004
Cu 0.250 -2.887 3.431
Cu 3.930 -2.070 0.662
Cu 3.233 -4.506 -0.983
Cu 3.268 -3.021 3.452
Cu -0.447 -5.323 1.786
```


Record 5
Nd4Zn5Cu2: optimized geometry, PBE.

Output
- Total magnetization: 0.000 μB/cell
- Formation energy: -0.221 eV per atom
- Total energy: -3.279 eV/atom

Structure (extended XYZ):
```
11
Lattice="3.835 0.000 0.000 0.000 7.101 0.026 0.000 -0.656 9.127" Properties=species:S:1:pos:R:3 pbc="T T T"
Nd 1.917 4.912 5.145
Nd 1.917 0.685 7.974
Nd 1.917 1.532 4.008
Nd 1.917 5.760 1.178
Zn 0.000 3.779 2.708
Zn 0.000 1.317 1.466
Zn 0.000 3.550 0.013
Zn 0.000 5.128 7.687
Zn 0.000 2.666 6.445
Cu 0.000 0.029 5.795
Cu 0.000 6.416 3.357
```


Record 6
NdZn2Cu9: optimized geometry, PBE.

Output
- Total magnetization: 0.000 μB/cell
- Formation energy: 0.048 eV per atom
- Offset from the most stable computed form: 0.1619 eV/atom
- Total energy: -3.634 eV/atom

Structure (extended XYZ):
```
12
Lattice="2.780 0.000 0.000 0.000 8.389 0.000 0.000 -4.195 7.265" Properties=species:S:1:pos:R:3 pbc="T T T"
Nd 0.000 0.000 0.000
Zn 0.000 4.195 2.422
Zn 0.000 0.000 4.844
Cu 1.390 6.049 1.351
Cu 0.000 -2.097 3.633
Cu 0.000 2.097 3.633
Cu 1.390 4.195 4.563
Cu 1.390 -1.854 5.914
Cu 1.390 1.854 5.914
Cu 1.390 0.000 2.703
Cu 0.000 4.195 0.000
Cu 1.390 2.341 1.351
```


Record 7
NdZn9Cu2: optimized geometry, PBE.

Output
- Total magnetization: 0.000 μB/cell
- Formation energy: -0.112 eV per atom
- Offset from the most stable computed form: 0.1366 eV/atom
- Total energy: -2.147 eV/atom

Structure (extended XYZ):
```
12
Lattice="3.067 0.000 0.000 0.000 8.540 0.000 0.000 -4.270 7.396" Properties=species:S:1:pos:R:3 pbc="T T T"
Nd 0.000 0.000 0.000
Zn 1.533 6.106 1.405
Zn 0.000 -2.135 3.698
Zn 0.000 2.135 3.698
Zn 1.533 4.270 4.586
Zn 1.533 -1.836 5.991
Zn 1.533 1.836 5.991
Zn 1.533 0.000 2.810
Zn 0.000 4.270 0.000
Zn 1.533 2.434 1.405
Cu 0.000 4.270 2.465
Cu 0.000 0.000 4.930
```


Record 8
Nd2ZnCu5: optimized geometry, PBE.

Output
- Total magnetization: 0.000 μB/cell
- Formation energy: -0.027 eV per atom
- Offset from the most stable computed form: 0.1504 eV/atom
- Total energy: -3.938 eV/atom

Structure (extended XYZ):
```
8
Lattice="-4.217 -0.521 4.320 5.673 -1.859 1.038 2.114 5.462 -1.553" Properties=species:S:1:pos:R:3 pbc="T T T"
Nd 0.791 3.323 1.261
Nd 2.571 -0.337 2.557
Zn 7.767 3.593 -0.514
Cu 3.686 2.296 1.427
Cu 4.555 0.254 0.283
Cu 3.084 3.280 -0.788
Cu -0.264 0.717 2.388
Cu 2.255 1.043 -0.149
```